Ti2NbCu2: relaxed, GGA-PBE.

The structure in extended XYZ format:
```
5
Lattice="-1.946 0.660 -3.141 -2.958 -1.795 1.456 -4.324 4.285 1.337" Properties=species:S:1:pos:R:3 pbc="T T T"
Ti -4.361 2.189 -1.323
Ti -4.867 0.961 0.975
Cu -6.406 2.759 0.063
Cu -2.822 0.391 -0.412
Nb 0.000 0.000 0.000
```

Properties
Uncorrected energy, eV per atom: -6.52
Mass density, Mg/m³: 6.599
Energy of formation, meV/atom: 293
Energy relative to the lowest polymorph listed for this composition, kJ per mole of atoms: 27.6
Space-group type: No. 139


YTh2In: relaxed, GGA-PBE.

The structure in extended XYZ format:
```
4
Lattice="-2.356 0.998 2.419 0.855 -0.046 3.415 3.295 11.227 1.141" Properties=species:S:1:pos:R:3 pbc="T T T"
Th 2.309 8.393 1.350
Th 0.484 3.146 1.736
In 0.892 6.076 3.488
Y -0.994 0.653 3.888
```

Properties
Uncorrected energy, eV per atom: -6.02
Mass density, Mg/m³: 8.921
Energy of formation, meV/atom: -14
Energy relative to the lowest polymorph listed for this composition, kJ per mole of atoms: 17.3
Space-group type: No. 160


SnGeI2: relaxed, GGA-PBE.

The structure in extended XYZ format:
```
8
Lattice="8.613 0.000 0.000 0.000 8.613 0.000 4.307 4.307 3.651" Properties=species:S:1:pos:R:3 pbc="T T T"
Sn 0.000 0.000 0.000
Sn 8.613 4.307 1.825
I 6.460 6.630 2.738
I 10.767 10.597 2.738
I 2.323 6.460 0.913
I 6.290 2.153 0.913
Ge 4.307 8.613 1.825
Ge 4.307 4.307 0.000
```

Properties
Uncorrected energy, eV per atom: -2.76
Mass density, Mg/m³: 5.458
Energy relative to the lowest polymorph listed for this composition, kJ per mole of atoms: 5.0
Raw formation energy, eV/atom: 0.1702
Space-group type: No. 122


AcLaTmLu: relaxed, GGA-PBE.

The structure in extended XYZ format:
```
4
Lattice="5.848 0.000 0.000 2.924 5.065 0.000 2.924 1.688 4.775" Properties=species:S:1:pos:R:3 pbc="T T T"
Ac 2.924 1.688 1.194
La 8.772 5.065 3.581
Tm 0.000 0.000 0.000
Lu 5.848 3.377 2.388
```

Properties
Uncorrected energy, eV per atom: -4.43
Mass density, Mg/m³: 8.333
Energy of formation, meV/atom: 78
Space-group type: No. 216


LaPS2F: relaxed, GGA-PBE.

The structure in extended XYZ format:
```
5
Lattice="-3.935 -3.508 -1.470 3.606 -4.113 0.160 -1.338 -0.946 5.839" Properties=species:S:1:pos:R:3 pbc="T T T"
La 0.000 0.000 0.000
S 1.803 -2.056 0.080
S -1.967 -1.754 -0.735
P -0.669 -0.473 2.920
F -0.833 -4.283 2.265
```

Properties
Uncorrected energy, eV per atom: -3.91
Mass density, Mg/m³: 2.313
Energy relative to the lowest polymorph listed for this composition, kJ per mole of atoms: 83.9
Raw formation energy, eV/atom: 0.1831
Space-group type: No. 123


PmPaIn: relaxed, GGA-PBE.

The structure in extended XYZ format:
```
6
Lattice="5.829 0.000 0.000 0.000 6.086 0.268 0.000 -0.268 6.086" Properties=species:S:1:pos:R:3 pbc="T T T"
Pa 2.915 5.114 1.159
Pa 2.915 0.704 5.196
Pm 0.000 0.000 0.000
Pm 2.915 2.909 3.177
In 0.000 1.962 2.143
In 0.000 3.856 4.211
```

Properties
Uncorrected energy, eV per atom: -4.71
Mass density, Mg/m³: 7.535
Energy of formation, meV/atom: 953
Energy relative to the lowest polymorph listed for this composition, kJ per mole of atoms: 80.0
Space-group type: No. 65


LiEr5Se8: relaxed, GGA-PBE.

The structure in extended XYZ format:
```
14
Lattice="8.296 0.000 0.000 4.148 7.184 0.000 4.148 2.395 6.773" Properties=species:S:1:pos:R:3 pbc="T T T"
Se 8.296 4.789 5.819
Se 10.282 3.643 2.576
Se 10.512 8.299 5.869
Se 14.375 8.299 5.869
Se 8.296 7.083 2.576
Se 6.310 3.643 2.576
Se 12.443 4.954 5.869
Se 12.443 7.184 2.714
Er 0.000 0.000 0.000
Er 10.281 5.936 4.197
Er 8.296 4.789 0.955
Er 8.296 2.497 4.197
Er 6.310 5.936 4.197
Li 4.148 2.395 1.693
```

Properties
Uncorrected energy, eV per atom: -5.53
Mass density, Mg/m³: 6.067
Raw formation energy, eV/atom: -1.7766
Space-group type: No. 216


BeCu2Ir: relaxed, GGA-PBE.

The structure in extended XYZ format:
```
4
Lattice="4.829 0.004 0.005 2.404 4.188 -0.005 -3.210 -2.797 2.279" Properties=species:S:1:pos:R:3 pbc="T T T"
Ir 2.618 -0.349 1.142
Be 1.405 1.744 1.137
Cu 3.452 2.001 0.000
Cu 0.165 0.095 0.000
```

Properties
Uncorrected energy, eV per atom: -5.32
Mass density, Mg/m³: 11.843
Energy of formation, meV/atom: -129
Space-group type: No. 71


Li2AlRe: relaxed, GGA-PBE.

The structure in extended XYZ format:
```
4
Lattice="5.481 -0.002 0.004 2.976 4.603 -0.004 -3.633 -3.394 2.307" Properties=species:S:1:pos:R:3 pbc="T T T"
Al 1.785 1.755 1.151
Li 4.199 2.284 0.000
Li 0.029 0.016 0.000
Re 3.038 -0.548 1.155
```

Properties
Uncorrected energy, eV per atom: -4.98
Mass density, Mg/m³: 6.484
Energy of formation, meV/atom: 26
Space-group type: No. 71


Cr2InP: relaxed, GGA-PBE.

The structure in extended XYZ format:
```
4
Lattice="-1.965 1.873 2.882 3.484 -0.380 2.621 4.546 2.750 1.312" Properties=species:S:1:pos:R:3 pbc="T T T"
P 2.273 1.375 0.656
Cr 0.000 0.000 0.000
Cr 0.759 0.747 2.752
In 3.032 2.122 3.408
```

Properties
Uncorrected energy, eV per atom: -6.44
Mass density, Mg/m³: 6.746
Energy of formation, meV/atom: 405
Energy relative to the lowest polymorph listed for this composition, kJ per mole of atoms: 36.6
Space-group type: No. 10


Mg4TlPd15: relaxed, GGA-PBE.

The structure in extended XYZ format:
```
20
Lattice="-0.550 3.157 2.379 -2.657 1.483 -2.582 -14.656 -9.714 9.499" Properties=species:S:1:pos:R:3 pbc="T T T"
Pd -10.487 -5.191 7.808
Pd -8.656 -4.116 3.458
Pd -10.370 -3.491 5.580
Pd -13.374 -7.104 9.679
Pd -1.604 2.320 -0.102
Pd -2.886 -0.291 -0.282
Pd -1.832 0.546 2.199
Pd -13.248 -5.399 7.446
Pd -14.427 -7.941 7.198
Pd -4.614 0.324 1.850
Pd -4.719 -1.367 4.070
Pd -11.540 -6.027 5.328
Pd -5.772 -2.204 1.589
Pd -7.493 -1.584 3.715
Pd -7.603 -3.279 5.939
Tl 0.000 0.000 0.000
Mg -8.773 -5.815 5.686
Mg -11.673 -7.737 7.566
Mg -2.983 -1.977 1.933
Mg -5.883 -3.899 3.813
```

Properties
Uncorrected energy, eV per atom: -4.74
Mass density, Mg/m³: 9.901
Energy of formation, meV/atom: -413
Space-group type: No. 123


Li2Ca3Mg4: relaxed, GGA-PBE.

The structure in extended XYZ format:
```
9
Lattice="4.873 0.000 -0.001 -2.436 5.366 -1.871 0.001 0.188 9.562" Properties=species:S:1:pos:R:3 pbc="T T T"
Mg 2.437 3.753 2.980
Mg 0.001 1.801 4.710
Mg 0.001 3.083 7.679
Mg 2.437 2.471 0.012
Li 2.437 3.015 5.867
Li 0.000 2.539 1.824
Ca 0.000 0.000 0.000
Ca 0.001 5.362 4.854
Ca 2.437 0.191 2.836
```

Properties
Uncorrected energy, eV per atom: -1.83
Mass density, Mg/m³: 1.526
Energy of formation, meV/atom: -25
Space-group type: No. 12